(1)
Y2BeCo: relaxed, PBEsol.

Unit cell a=3.8199 b=3.7941 c=10.7765 alpha=90.00 beta=90.00 gamma=90.00
Space group Amm2 (No. 38)
One atom of each set of equivalent atoms:
Y 0.0000 0.0000 0.0000
Y 0.5000 0.0000 0.2760
Be 0.0000 0.0000 0.6919
Co 0.5000 0.0000 0.5888

Results
DOS(E_F) (states/eV/cell): 4.82
Total DFT energy (no corrections) (eV/atom): -6.475
Formation enthalpy at 0 K (eV per formula unit): -0.519

(2)
MnPN2: relaxed, PBEsol.

Unit cell a=2.7883 b=2.7883 c=16.7727 alpha=90.00 beta=90.00 gamma=120.00
Space group R-3m (No. 166, hexagonal axes)
One atom of each set of equivalent atoms:
Mn 0.0000 0.0000 0.0000
P 0.0000 0.0000 0.5000
N 0.0000 0.0000 0.3982

Results
Formation energy (no corrections) (eV per formula unit): -0.27
DOS(E_F) (states/eV/cell): 6.43
Total DFT energy (no corrections) (eV/atom): -8.220

(3)
MgZrAu2: relaxed, PBEsol.

Unit cell a=3.0643 b=3.2552 c=7.2668 alpha=90.00 beta=90.00 gamma=90.00
Space group Pmmm (No. 47)
One atom of each set of equivalent atoms:
Mg 0.0000 0.0000 0.0000
Zr 0.0000 0.0000 0.5000
Au 0.5000 0.5000 0.2376

Results
DOS(E_F) (states/eV/cell): 2.87
Total DFT energy (no corrections) (eV/atom): -5.246
Formation enthalpy at 0 K (eV per formula unit): -2.331

(4)
KZrTl2: relaxed, PBEsol.

Unit cell a=3.2891 b=3.2891 c=9.6900 alpha=90.00 beta=90.00 gamma=90.00
Space group P4/mmm (No. 123)
One atom of each set of equivalent atoms:
K 0.0000 0.0000 0.0000
Zr 0.0000 0.0000 0.5000
Tl 0.5000 0.5000 0.2817

Results
DOS(E_F) (states/eV/cell): 3.54
Total DFT energy (no corrections) (eV/atom): -3.879
Formation enthalpy at 0 K (eV per formula unit): -0.035

(5)
Ca2ZnIr: relaxed, PBEsol.

Unit cell a=3.4089 b=3.4089 c=7.2578 alpha=90.00 beta=90.00 gamma=90.00
Space group P4/mmm (No. 123)
One atom of each set of equivalent atoms:
Ca 0.0000 0.0000 0.2254
Zn 0.5000 0.5000 0.5000
Ir 0.5000 0.5000 0.0000

Results
DOS(E_F) (states/eV/cell): 3.02
Total DFT energy (no corrections) (eV/atom): -4.077
Formation enthalpy at 0 K (eV per formula unit): -0.637

(6)
La3ZnN: relaxed, PBEsol.

Unit cell a=5.0054 b=5.0054 c=5.0054 alpha=90.00 beta=90.00 gamma=90.00
Space group Pm-3m (No. 221)
One atom of each set of equivalent atoms:
La 0.0000 0.0000 0.5000
Zn 0.5000 0.5000 0.5000
N 0.0000 0.0000 0.0000

Results
Formation energy (no corrections) (eV per formula unit): -3.44
DOS(E_F) (states/eV/cell): 4.51
Total DFT energy (no corrections) (eV/atom): -5.918
Energy above the most stable polymorph in this dataset (meV/atom): 38

(7)
Mn2Ir: relaxed, PBEsol.

Unit cell a=4.3198 b=4.3198 c=2.7216 alpha=90.00 beta=90.00 gamma=90.00
Space group P4/mmm (No. 123)
One atom of each set of equivalent atoms:
Mn 0.0000 0.5000 0.0000
Ir 0.0000 0.0000 0.5000

Results
DOS(E_F) (states/eV/cell): 2.83
Total DFT energy (no corrections) (eV/atom): -9.235
Formation enthalpy at 0 K (eV per formula unit): 1.642

(8)
Li2Ti2Sb2O: relaxed, PBEsol.

Unit cell a=4.0466 b=4.0466 c=14.6107 alpha=90.00 beta=90.00 gamma=90.00
Space group I4/mmm (No. 139)
One atom of each set of equivalent atoms:
Li 0.0000 0.0000 0.1676
Ti 0.0000 0.5000 0.0000
Sb 0.0000 0.0000 0.3598
O 0.0000 0.0000 0.0000

Results
Formation energy (no corrections) (eV per formula unit): -8.35
DOS(E_F) (states/eV/cell): 8.34
Total DFT energy (no corrections) (eV/atom): -6.184

(9)
LiTaZn2: relaxed, PBEsol.

Unit cell a=6.0417 b=7.7716 c=2.5948 alpha=90.00 beta=90.00 gamma=90.00
Space group Cmmm (No. 65)
One atom of each set of equivalent atoms:
Li 0.0000 0.0000 0.0000
Ta 0.0000 0.5000 0.0000
Zn 0.2500 0.2500 0.5000

Results
DOS(E_F) (states/eV/cell): 4.31
Total DFT energy (no corrections) (eV/atom): -4.420
Formation enthalpy at 0 K (eV per formula unit): 0.003
Energy above the most stable polymorph in this dataset (meV/atom): 72

(10)
La2TlP: relaxed, PBEsol.

Unit cell a=4.1236 b=4.1236 c=24.3151 alpha=90.00 beta=90.00 gamma=120.00
Space group R-3m (No. 166, hexagonal axes)
One atom of each set of equivalent atoms:
La 0.0000 0.0000 0.2360
Tl 0.0000 0.0000 0.0000
P 0.0000 0.0000 0.5000

Results
DOS(E_F) (states/eV/cell): 5.89
Total DFT energy (no corrections) (eV/atom): -5.727
Formation enthalpy at 0 K (eV per formula unit): -3.795
Energy above the most stable polymorph in this dataset (meV/atom): 0

(11)
KPt3: relaxed, PBEsol.

Unit cell a=2.6955 b=5.0414 c=10.5450 alpha=90.00 beta=90.00 gamma=90.00
Space group Immm (No. 71)
One atom of each set of equivalent atoms:
K 0.0000 0.0000 0.0000
Pt 0.0000 0.0000 0.5000
Pt 0.0000 0.5000 0.2202

Results
DOS(E_F) (states/eV/cell): 7.10
Total DFT energy (no corrections) (eV/atom): -5.229
Formation enthalpy at 0 K (eV per formula unit): 1.106
Energy above the most stable polymorph in this dataset (meV/atom): 307

(12)
La2ZnAs: relaxed, PBEsol.

Unit cell a=4.1405 b=4.3799 c=11.2908 alpha=90.00 beta=90.00 gamma=90.00
Space group Amm2 (No. 38)
One atom of each set of equivalent atoms:
La 0.0000 0.0000 0.0000
La 0.5000 0.0000 0.2855
Zn 0.0000 0.0000 0.7159
As 0.5000 0.0000 0.5663

Results
DOS(E_F) (states/eV/cell): 8.05
Total DFT energy (no corrections) (eV/atom): -5.158
Formation enthalpy at 0 K (eV per formula unit): -3.253
Energy above the most stable polymorph in this dataset (meV/atom): 0

(13)
Cs2LiF: relaxed, PBEsol.

Unit cell a=8.6397 b=8.6397 c=8.6397 alpha=90.00 beta=90.00 gamma=90.00
Space group Fm-3m (No. 225)
One atom of each set of equivalent atoms:
Cs 0.2500 0.2500 0.2500
Li 0.0000 0.0000 0.0000
F 0.0000 0.0000 0.5000

Results
Formation energy (no corrections) (eV per formula unit): -3.11
DOS(E_F) (states/eV/cell): 0.67
Total DFT energy (no corrections) (eV/atom): -2.223

(14)
Sr8RuRh3O16: relaxed, PBEsol.

Unit cell a=5.4157 b=5.4157 c=25.7282 alpha=90.00 beta=90.00 gamma=90.00
Space group I-4 (No. 82)
One atom of each set of equivalent atoms:
Sr 0.0000 0.0000 0.1749
Sr 0.0000 0.0000 0.3251
Sr 0.0000 0.5000 0.0736
Sr 0.0000 0.5000 0.5741
Ru 0.0000 0.5000 0.2500
Rh 0.0000 0.0000 0.0000
Rh 0.0000 0.0000 0.5000
Rh 0.0000 0.5000 0.7500
O 0.0000 0.0000 0.0801
O 0.0000 0.0000 0.4199
O 0.0000 0.5000 0.1712
O 0.0000 0.5000 0.6697
O 0.1978 0.3022 0.9999
O 0.2011 0.7925 0.2500

Results
Formation energy (no corrections) (eV per formula unit): -58.29
DOS(E_F) (states/eV/cell): 25.06
Total DFT energy (no corrections) (eV/atom): -6.842

(15)
SrY2Ta: relaxed, PBEsol.

Unit cell a=10.6597 b=3.2525 c=6.8181 alpha=90.00 beta=94.97 gamma=90.00
Space group Cm (No. 8)
One atom of each set of equivalent atoms:
Sr 0.0000 0.0000 0.0000
Y 0.0139 0.5000 0.5526
Y 0.2614 0.5000 0.3164
Ta 0.2504 0.0000 0.6988

Results
DOS(E_F) (states/eV/cell): 9.27
Total DFT energy (no corrections) (eV/atom): -6.443
Formation enthalpy at 0 K (eV per formula unit): 2.263
Energy above the most stable polymorph in this dataset (meV/atom): 203

(16)
LiMn2O3F: relaxed, PBEsol.

Unit cell a=10.1668 b=6.0289 c=5.7290 alpha=90.00 beta=122.79 gamma=90.00
Space group C2/m (No. 12)
One atom of each set of equivalent atoms:
Li 0.1009 0.0000 0.3863
Mn 0.0000 0.5000 0.0000
Mn 0.0000 0.5000 0.5000
Mn 0.2500 0.2500 0.0000
O 0.0250 0.2868 0.7712
O 0.2425 0.0000 0.7938
F 0.2424 0.0000 0.2776

Results
Formation energy (no corrections) (eV per formula unit): -13.39
DOS(E_F) (states/eV/cell): 3.12
Total DFT energy (no corrections) (eV/atom): -7.507
Energy above the most stable polymorph in this dataset (meV/atom): 7

(17)
Li4Mn3SbP4O16: relaxed, PBEsol.

Unit cell a=4.7297 b=6.1726 c=10.9803 alpha=90.00 beta=94.47 gamma=90.00
Space group Pm (No. 6)
One atom of each set of equivalent atoms:
Li 0.0000 0.2417 0.0000
Li 0.4389 0.2567 0.5329
Mn 0.4489 0.0000 0.7958
Mn 0.9263 0.0000 0.3299
Mn 0.9402 0.5000 0.7314
Sb 0.4993 0.5000 0.2309
P 0.0119 0.5000 0.4485
P 0.4157 0.5000 0.9101
P 0.5564 0.0000 0.0946
P 0.8617 0.0000 0.6193
O 0.1168 0.2902 0.3857
O 0.1737 0.5000 0.5785
O 0.1859 0.0000 0.6225
O 0.2349 0.0000 0.0810
O 0.2711 0.2993 0.8455
O 0.3110 0.5000 0.0418
O 0.6874 0.1927 0.1743
O 0.6892 0.5000 0.4598
O 0.6920 0.0000 0.9704
O 0.7101 0.0000 0.4880
O 0.7401 0.5000 0.9114
O 0.7415 0.1993 0.6870

Results
Formation energy (no corrections) (eV per formula unit): -55.53
DOS(E_F) (states/eV/cell): 1.52
Total DFT energy (no corrections) (eV/atom): -7.300

(18)
Be2ZnOs: relaxed, PBEsol.

Unit cell a=2.8407 b=2.8407 c=5.4790 alpha=90.00 beta=90.00 gamma=90.00
Space group P4mm (No. 99)
One atom of each set of equivalent atoms:
Be 0.0000 0.0000 0.0000
Be 0.5000 0.5000 0.2116
Zn 0.5000 0.5000 0.7397
Os 0.0000 0.0000 0.4243

Results
DOS(E_F) (states/eV/cell): 2.96
Total DFT energy (no corrections) (eV/atom): -5.342
Formation enthalpy at 0 K (eV per formula unit): 0.430

(19)
LiCrOs2: relaxed, PBEsol.

Unit cell a=2.8212 b=4.4207 c=8.3376 alpha=90.00 beta=90.00 gamma=90.00
Space group Immm (No. 71)
One atom of each set of equivalent atoms:
Li 0.0000 0.0000 0.0000
Cr 0.0000 0.0000 0.5000
Os 0.0000 0.5000 0.2343

Results
DOS(E_F) (states/eV/cell): 5.96
Total DFT energy (no corrections) (eV/atom): -8.883
Formation enthalpy at 0 K (eV per formula unit): 1.109
Energy above the most stable polymorph in this dataset (meV/atom): 94

(20)
Tc2PtW: relaxed, PBEsol.

Unit cell a=3.2433 b=3.2433 c=5.6154 alpha=90.00 beta=90.00 gamma=90.00
Space group P4/mmm (No. 123)
One atom of each set of equivalent atoms:
Tc 0.0000 0.0000 0.2482
Pt 0.5000 0.5000 0.5000
W 0.5000 0.5000 0.0000

Results
DOS(E_F) (states/eV/cell): 3.80
Total DFT energy (no corrections) (eV/atom): -10.739
Formation enthalpy at 0 K (eV per formula unit): 0.349
Energy above the most stable polymorph in this dataset (meV/atom): 262

Number 1: spin magnetization 0.000 μB/atom. Number 2: spin magnetization 0.586 μB/atom. Number 3: spin magnetization 0.000 μB/atom. Number 4: spin magnetization 0.000 μB/atom. Number 5: spin magnetization 0.000 μB/atom. Number 6: spin magnetization 0.000 μB/atom. Number 7: spin magnetization 2.505 μB/atom. Number 8: spin magnetization 0.000 μB/atom. Number 9: spin magnetization 0.000 μB/atom. Number 10: spin magnetization 0.000 μB/atom. Number 11: spin magnetization 0.000 μB/atom. Number 12: spin magnetization 0.083 μB/atom. Number 13: spin magnetization 0.000 μB/atom. Number 14: spin magnetization 0.131 μB/atom. Number 15: spin magnetization 0.000 μB/atom. Number 16: spin magnetization 1.133 μB/atom. Number 17: spin magnetization 0.565 μB/atom. Number 18: spin magnetization 0.002 μB/atom. Number 19: spin magnetization 0.000 μB/atom. Number 20: spin magnetization 0.000 μB/atom.